[1]
Density functional theory data (PBE) for crystalline RbRe2Os at its relaxed geometry.

Calculated values
Excess energy over the best structure of this formula in the dataset   0.00 eV per formula unit
Formation enthalpy at 0 K   753 kJ/mol of formula units

The structure in CIF format:
```
data_RbRe2Os
_cell_length_a 6.4679
_cell_length_b 6.4679
_cell_length_c 6.4679
_cell_angle_alpha 90.00
_cell_angle_beta 90.00
_cell_angle_gamma 90.00
_space_group_name_H-M_alt 'F m -3 m'
_space_group_IT_number 225
_space_group_name_Hall '-F 4 2 3'
loop_
_atom_site_label
_atom_site_fract_x
_atom_site_fract_y
_atom_site_fract_z
Rb1 0.0000 0.0000 0.0000
Re1 0.2500 0.2500 0.2500
Os1 0.0000 0.0000 0.5000
```

***

[2]
Density functional theory data (PBE) for crystalline RbRe2TcOs at its relaxed geometry.

Calculated values
Formation enthalpy at 0 K   2047 kJ/mol of formula units

The structure in CIF format:
```
data_RbRe2TcOs
_cell_length_a 4.5960
_cell_length_b 4.5960
_cell_length_c 4.5756
_cell_angle_alpha 90.00
_cell_angle_beta 90.00
_cell_angle_gamma 90.00
_space_group_name_H-M_alt 'P 4/m m m'
_space_group_IT_number 123
_space_group_name_Hall '-P 4 2'
loop_
_atom_site_label
_atom_site_fract_x
_atom_site_fract_y
_atom_site_fract_z
Rb1 0.0000 0.0000 0.0000
Re1 0.0000 0.5000 0.0000
Tc1 0.5000 0.5000 0.5000
Os1 0.0000 0.0000 0.5000
```

***

[3]
Density functional theory data (PBE) for crystalline RbOs2Rh at its relaxed geometry.

Calculated values
Excess energy over the best structure of this formula in the dataset   0.00 eV per formula unit
Formation enthalpy at 0 K   724 kJ/mol of formula units

The structure in CIF format:
```
data_RbOs2Rh
_cell_length_a 7.8349
_cell_length_b 7.8349
_cell_length_c 5.3351
_cell_angle_alpha 90.00
_cell_angle_beta 90.00
_cell_angle_gamma 90.00
_space_group_name_H-M_alt 'I -4 2 d'
_space_group_IT_number 122
_space_group_name_Hall 'I -4 2bw'
loop_
_atom_site_label
_atom_site_fract_x
_atom_site_fract_y
_atom_site_fract_z
Rb1 0.0000 0.0000 0.0000
Os1 0.1887 0.2500 0.6250
Rh1 0.0000 0.0000 0.5000
```

***

[4]
Density functional theory data (PBE) for crystalline RbOs2Rh at its relaxed geometry.

Calculated values
Excess energy over the best structure of this formula in the dataset   0.85 eV per formula unit
Formation enthalpy at 0 K   806 kJ/mol of formula units

The structure in CIF format:
```
data_RbOs2Rh
_cell_length_a 6.5174
_cell_length_b 6.5174
_cell_length_c 6.5174
_cell_angle_alpha 90.00
_cell_angle_beta 90.00
_cell_angle_gamma 90.00
_space_group_name_H-M_alt 'F m -3 m'
_space_group_IT_number 225
_space_group_name_Hall '-F 4 2 3'
loop_
_atom_site_label
_atom_site_fract_x
_atom_site_fract_y
_atom_site_fract_z
Rb1 0.0000 0.0000 0.0000
Os1 0.2500 0.2500 0.2500
Rh1 0.0000 0.0000 0.5000
```

***

[5]
Density functional theory data (PBE) for crystalline RbOs3Rh at its relaxed geometry.

Calculated values
Excess energy over the best structure of this formula in the dataset   9.04 eV per formula unit
Formation enthalpy at 0 K   2027 kJ/mol of formula units

The structure in CIF format:
```
data_RbOs3Rh
_cell_length_a 4.6359
_cell_length_b 4.6359
_cell_length_c 4.6359
_cell_angle_alpha 90.00
_cell_angle_beta 90.00
_cell_angle_gamma 90.00
_space_group_name_H-M_alt 'P m -3 m'
_space_group_IT_number 221
_space_group_name_Hall '-P 4 2 3'
loop_
_atom_site_label
_atom_site_fract_x
_atom_site_fract_y
_atom_site_fract_z
Rb1 0.0000 0.0000 0.0000
Os1 0.0000 0.0000 0.5000
Rh1 0.5000 0.5000 0.5000
```

***

[6]
Density functional theory data (PBE) for crystalline RbOsRh2 at its relaxed geometry.

Calculated values
Excess energy over the best structure of this formula in the dataset   1.29 eV per formula unit
Formation enthalpy at 0 K   558 kJ/mol of formula units

The structure in CIF format:
```
data_RbOsRh2
_cell_length_a 6.5828
_cell_length_b 6.5828
_cell_length_c 6.5828
_cell_angle_alpha 90.00
_cell_angle_beta 90.00
_cell_angle_gamma 90.00
_space_group_name_H-M_alt 'F m -3 m'
_space_group_IT_number 225
_space_group_name_Hall '-F 4 2 3'
loop_
_atom_site_label
_atom_site_fract_x
_atom_site_fract_y
_atom_site_fract_z
Rb1 0.0000 0.0000 0.0000
Os1 0.0000 0.0000 0.5000
Rh1 0.2500 0.2500 0.2500
```

***

[7]
Density functional theory data (PBE) for crystalline RbOsRh2 at its relaxed geometry.

Calculated values
Excess energy over the best structure of this formula in the dataset   0.00 eV per formula unit
Formation enthalpy at 0 K   434 kJ/mol of formula units

The structure in CIF format:
```
data_RbOsRh2
_cell_length_a 5.4078
_cell_length_b 5.4078
_cell_length_c 15.6132
_cell_angle_alpha 90.00
_cell_angle_beta 90.00
_cell_angle_gamma 90.00
_space_group_name_H-M_alt 'I -4 2 d'
_space_group_IT_number 122
_space_group_name_Hall 'I -4 2bw'
loop_
_atom_site_label
_atom_site_fract_x
_atom_site_fract_y
_atom_site_fract_z
Rb1 0.0000 0.0000 0.0000
Os1 0.0000 0.0000 0.5000
Rh1 0.0501 0.2500 0.6250
```

***

[8]
Density functional theory data (PBE) for crystalline RbOs3Rh at its relaxed geometry.

Calculated values
Excess energy over the best structure of this formula in the dataset   0.00 eV per formula unit
Formation enthalpy at 0 K   1154 kJ/mol of formula units

The structure in CIF format:
```
data_RbOs3Rh
_cell_length_a 4.8242
_cell_length_b 4.8242
_cell_length_c 4.8242
_cell_angle_alpha 90.00
_cell_angle_beta 90.00
_cell_angle_gamma 90.00
_space_group_name_H-M_alt 'P m -3 m'
_space_group_IT_number 221
_space_group_name_Hall '-P 4 2 3'
loop_
_atom_site_label
_atom_site_fract_x
_atom_site_fract_y
_atom_site_fract_z
Rb1 0.0000 0.0000 0.0000
Os1 0.0000 0.5000 0.5000
Rh1 0.5000 0.5000 0.5000
```